# ReIr2Se | Alexandria | PBEsol | relaxed
# raw formation energy	0.33	eV/atom
# energy	-35.51	eV/cell
data_ReIr2Se
_cell_length_a 2.719
_cell_length_b 4.486
_cell_length_c 4.969
_cell_angle_alpha 90.00
_cell_angle_beta 90.00
_cell_angle_gamma 90.00
_space_group_name_H-M_alt 'P m m 2'
_space_group_IT_number 25
loop_
_space_group_symop_operation_xyz
'x,y,z'
'-x,-y,z'
'-x,y,z'
'x,-y,z'
loop_
_atom_site_label
_atom_site_type_symbol
_atom_site_fract_x
_atom_site_fract_y
_atom_site_fract_z
_atom_site_occupancy
Re1 Re 0.000 0.000 0.000 1
Ir1 Ir 0.500 0.000 0.517 1
Ir2 Ir 0.500 0.500 0.859 1
Se1 Se 0.500 0.500 0.341 1